# GGA-PBE Tl3GaTc, relaxed
data_Tl3GaTc
_chemical_formula_sum 'Tl3 Ga1 Tc1'
_cell_length_a 5.3352
_cell_length_b 5.3352
_cell_length_c 5.3352
_cell_angle_alpha 90.00
_cell_angle_beta 90.00
_cell_angle_gamma 90.00
_space_group_name_H-M_alt 'P 1'
_space_group_IT_number 1
loop_
_space_group_symop_operation_xyz
'x,y,z'
loop_
_atom_site_label
_atom_site_fract_x
_atom_site_fract_y
_atom_site_fract_z
Tl1 0.0000 0.5000 0.0000
Tl2 0.0000 0.0000 0.5000
Tl3 0.5000 0.0000 0.0000
Tc1 0.0000 0.0000 0.0000
Ga1 0.5000 0.5000 0.5000
# E above lowest polymorph, eV per atom: 0.0000
# Symmetry: Pm-3m
# Energy of formation from the pure elements, eV per atom: 0.51
# Total moment, μB per formula unit: 0.000
# Uncorrected energy, eV per atom: -3.584